The following is a PBE calculation of a relaxed AsPdPtO crystal, from OQMD.

Cell and atoms, written as extended XYZ:
```
8
Lattice="3.907 0.000 0.000 0.000 3.907 0.000 0.000 0.000 7.229" Properties=species:S:1:pos:R:3 pbc="T T T"
As 0.977 0.977 1.659
As 2.930 2.930 5.570
Pd 0.977 2.930 0.000
Pd 2.930 0.977 0.000
Pt 0.977 0.977 4.830
Pt 2.930 2.930 2.399
O 0.977 2.930 3.615
O 2.930 0.977 3.615
```

Values from the calculation:
excess energy over the best structure of this formula in the dataset: 0.176 eV per atom
magnetic moment: 0.026 μB per formula unit
crystal system: tetragonal

---

The following is a PBE calculation of a relaxed Lu2Bi3W4C3 crystal, from OQMD.

Cell and atoms, written as extended XYZ:
```
24
Lattice="5.018 -2.988 0.000 5.018 2.988 0.000 -1.068 0.000 14.479" Properties=species:S:1:pos:R:3 pbc="T T T"
Lu 3.732 2.521 8.642
Lu 4.704 2.521 13.076
Lu 4.266 -2.521 1.403
Lu 5.237 -2.521 5.836
Bi 0.990 0.764 10.557
Bi 1.524 -0.764 3.317
Bi 4.218 0.429 10.859
Bi 4.751 -0.429 3.620
Bi 7.445 0.764 11.161
Bi 7.979 -0.764 3.922
W 2.491 0.412 0.852
W 3.703 0.604 6.290
W 1.957 -0.412 8.091
W 5.800 0.604 0.950
W 3.169 -0.604 13.529
W 7.012 0.412 6.387
W 5.266 -0.604 8.189
W 6.478 -0.412 13.626
C 1.975 1.494 7.239
C 3.070 1.445 14.434
C 5.365 1.445 7.283
C 2.509 -1.494 0.000
C 3.604 -1.445 7.195
C 5.899 -1.445 0.044
```

Values from the calculation:
magnetic moment: 0.003 μB per formula unit
raw total energy: -8.354 eV/atom
crystal system: monoclinic